[1]
# Tl4HgPd15, relaxed, DFT GGA-PBE
data_Tl4HgPd15
_space_group_name_H-M_alt 'P 4/m m m'
_space_group_IT_number 123
_space_group_name_Hall '-P 4 2'
_cell_length_a 4.0676
_cell_length_b 4.0676
_cell_length_c 20.5091
_cell_angle_alpha 90.00
_cell_angle_beta 90.00
_cell_angle_gamma 90.00
loop_
_atom_site_label
_atom_site_fract_x
_atom_site_fract_y
_atom_site_fract_z
_atom_site_occupancy
Tl1 0.0000 0.0000 0.1003 1
Tl2 0.0000 0.0000 0.3011 1
Hg1 0.0000 0.0000 0.5000 1
Pd1 0.0000 0.5000 0.0000 1
Pd2 0.0000 0.5000 0.2011 1
Pd3 0.0000 0.5000 0.4011 1
Pd4 0.5000 0.5000 0.1008 1
Pd5 0.5000 0.5000 0.3012 1
Pd6 0.5000 0.5000 0.5000 1
# ΔH_f (0 K)	-0.16	eV per atom
# E_tot	-90.90	eV per formula unit

[2]
# PIr4Os, relaxed, DFT GGA-PBE
data_PIr4Os
_space_group_name_H-M_alt 'F -4 3 m'
_space_group_IT_number 216
_space_group_name_Hall 'F -4 2 3'
_cell_length_a 7.2704
_cell_length_b 7.2704
_cell_length_c 7.2704
_cell_angle_alpha 90.00
_cell_angle_beta 90.00
_cell_angle_gamma 90.00
loop_
_atom_site_label
_atom_site_fract_x
_atom_site_fract_y
_atom_site_fract_z
_atom_site_occupancy
P1 0.0000 0.0000 0.0000 1
Ir1 0.1247 0.1247 0.6247 1
Os1 0.2500 0.2500 0.2500 1
# ΔH_f (0 K)	1.02	eV per atom
# E_tot	-45.95	eV per formula unit

[3]
# IrPtSe2, relaxed, DFT GGA-PBE
data_IrPtSe2
_space_group_name_H-M_alt 'P 1 m 1'
_space_group_IT_number 6
_cell_length_a 4.1121
_cell_length_b 3.6509
_cell_length_c 5.9127
_cell_angle_alpha 90.00
_cell_angle_beta 99.69
_cell_angle_gamma 90.00
loop_
_space_group_symop_operation_xyz
'x,y,z'
'x,-y,z'
loop_
_atom_site_label
_atom_site_fract_x
_atom_site_fract_y
_atom_site_fract_z
_atom_site_occupancy
Ir1 0.0000 0.0000 0.0000 1
Pt1 0.4407 0.5000 0.9078 1
Se1 0.5783 0.0000 0.6603 1
Se2 0.9242 0.5000 0.2503 1
# E_form (uncorrected)	24	meV/atom
# E_tot	-21.78	eV per formula unit

[4]
# Zr2TiCl, relaxed, DFT GGA-PBE
data_Zr2TiCl
_space_group_name_H-M_alt 'F m -3 m'
_space_group_IT_number 225
_space_group_name_Hall '-F 4 2 3'
_cell_length_a 6.9014
_cell_length_b 6.9014
_cell_length_c 6.9014
_cell_angle_alpha 90.00
_cell_angle_beta 90.00
_cell_angle_gamma 90.00
loop_
_atom_site_label
_atom_site_fract_x
_atom_site_fract_y
_atom_site_fract_z
_atom_site_occupancy
Zr1 0.2500 0.2500 0.2500 1
Ti1 0.0000 0.0000 0.0000 1
Cl1 0.0000 0.0000 0.5000 1
# ΔE to the lowest computed polymorph	29	meV/atom
# E_form (uncorrected)	380	meV/atom
# E_tot	-25.32	eV per formula unit

[5]
# UAg4S4, relaxed, DFT GGA-PBE
data_UAg4S4
_space_group_name_H-M_alt 'C 1 2/m 1'
_space_group_IT_number 12
_cell_length_a 13.3320
_cell_length_b 3.9961
_cell_length_c 9.2905
_cell_angle_alpha 90.00
_cell_angle_beta 124.30
_cell_angle_gamma 90.00
loop_
_space_group_symop_operation_xyz
'x,y,z'
'-x,-y,-z'
'-x,y,-z'
'x,-y,z'
'x+1/2,y+1/2,z'
'-x+1/2,-y+1/2,-z'
'-x+1/2,y+1/2,-z'
'x+1/2,-y+1/2,z'
loop_
_atom_site_label
_atom_site_fract_x
_atom_site_fract_y
_atom_site_fract_z
_atom_site_occupancy
U1 0.0000 0.0000 0.0000 1
Ag1 0.1582 0.5000 0.3933 1
Ag2 0.1953 0.0000 0.8427 1
S1 0.0585 0.5000 0.8571 1
S2 0.2356 0.0000 0.2769 1
# E_form (uncorrected)	-445	meV/atom
# E_tot	-43.21	eV per formula unit

[6]
# La4Tl5Sn, relaxed, DFT GGA-PBE
data_La4Tl5Sn
_space_group_name_H-M_alt 'C 1 2/m 1'
_space_group_IT_number 12
_cell_length_a 17.3755
_cell_length_b 5.3907
_cell_length_c 6.9124
_cell_angle_alpha 90.00
_cell_angle_beta 105.93
_cell_angle_gamma 90.00
loop_
_space_group_symop_operation_xyz
'x,y,z'
'-x,-y,-z'
'-x,y,-z'
'x,-y,z'
'x+1/2,y+1/2,z'
'-x+1/2,-y+1/2,-z'
'-x+1/2,y+1/2,-z'
'x+1/2,-y+1/2,z'
loop_
_atom_site_label
_atom_site_fract_x
_atom_site_fract_y
_atom_site_fract_z
_atom_site_occupancy
La1 0.0732 0.0000 0.3321 1
La2 0.1892 0.5000 0.7448 1
Tl1 0.0000 0.5000 0.0000 1
Tl2 0.1250 0.0000 0.9138 1
Tl3 0.2002 0.5000 0.2685 1
Sn1 0.0000 0.5000 0.5000 1
# ΔE to the lowest computed polymorph	0	meV/atom
# ΔH_f (0 K)	-0.44	eV per atom
# E_tot	-39.97	eV per formula unit